The following is a DFT calculation (PBE) of crystalline AlHg2P at its relaxed geometry.

Summary:
total magnetic moment: 0.000 μB per atom
energy above the most stable polymorph in this dataset: 10.114 kcal/mol of atoms
volume: 103.9 Å³/f.u.
space group: I-42d (122)
energy of formation from the pure elements: 0.39 eV per atom

a = 6.5932 Å, b = 6.5932 Å, c = 6.6766 Å
α = 60.41°, β = 60.41°, γ = 90.00°
Fractional positions:
P (0.0000, 0.0000, 0.0000)
P (0.7500, 0.2500, 0.5000)
Hg (0.6417, 0.1250, 0.2500)
Hg (0.1083, 0.6250, 0.2500)
Hg (0.3750, 0.3583, 0.7500)
Hg (0.8750, 0.8917, 0.7500)
Al (0.5000, 0.5000, 0.0000)
Al (0.2500, 0.7500, 0.5000)